(1)
A relaxed structure of CsTa2Mn, computed with PBE.

Geometry as CIF:
```
data_CsTa2Mn
_symmetry_space_group_name_H-M 'P 1'
_symmetry_Int_Tables_number 1
_cell_length_a 4.776
_cell_length_b 4.776
_cell_length_c 4.776
_cell_angle_alpha 60.00
_cell_angle_beta 60.00
_cell_angle_gamma 60.00
loop_
_symmetry_equiv_pos_as_xyz
'x,y,z'
loop_
_atom_site_label
_atom_site_fract_x
_atom_site_fract_y
_atom_site_fract_z
Cs1 0.500 0.500 0.500
Mn1 0.000 0.000 0.000
Ta1 0.250 0.250 0.250
Ta2 0.750 0.750 0.750
```

- VASP energy: -6.689 eV/atom
- DFT formation energy: 1.743 eV/atom
- Density: 11.85 g/cm3
- DOS at the Fermi energy: 3.18 states/eV per cell

=====

(2)
A relaxed structure of CsTaMn3, computed with PBE.

Geometry as CIF:
```
data_CsTaMn3
_symmetry_space_group_name_H-M 'P 1'
_symmetry_Int_Tables_number 1
_cell_length_a 4.802
_cell_length_b 4.802
_cell_length_c 4.802
_cell_angle_alpha 90.00
_cell_angle_beta 90.00
_cell_angle_gamma 90.00
loop_
_symmetry_equiv_pos_as_xyz
'x,y,z'
loop_
_atom_site_label
_atom_site_fract_x
_atom_site_fract_y
_atom_site_fract_z
Cs1 0.000 0.000 0.000
Mn1 0.000 0.500 0.000
Mn2 0.000 0.000 0.500
Mn3 0.500 0.000 0.000
Ta1 0.500 0.500 0.500
```

- VASP energy: -5.327 eV/atom
- DFT formation energy: 2.716 eV/atom
- Density: 7.18 g/cm3
- DOS at the Fermi energy: 6.44 states/eV per cell

=====

(3)
A relaxed structure of CsTaMn2, computed with PBE.

Geometry as CIF:
```
data_CsTaMn2
_symmetry_space_group_name_H-M 'P 1'
_symmetry_Int_Tables_number 1
_cell_length_a 4.957
_cell_length_b 4.957
_cell_length_c 4.957
_cell_angle_alpha 60.00
_cell_angle_beta 60.00
_cell_angle_gamma 60.00
loop_
_symmetry_equiv_pos_as_xyz
'x,y,z'
loop_
_atom_site_label
_atom_site_fract_x
_atom_site_fract_y
_atom_site_fract_z
Cs1 0.000 0.000 0.000
Mn1 0.250 0.250 0.250
Mn2 0.750 0.750 0.750
Ta1 0.500 0.500 0.500
```

- VASP energy: -6.144 eV/atom
- DFT formation energy: 1.617 eV/atom
- Density: 8.17 g/cm3
- DOS at the Fermi energy: 4.56 states/eV per cell